1.
Material: ScMnRu2
Method: DFT, PBE-GGA
State: optimized geometry

Properties
As for the formation energy: -0.1 eV per formula unit. As for the magnetic moment: 2.9 μB per formula unit.

Cell and atoms, written as CIF:
```
data_ScMnRu2
_chemical_formula_sum 'Sc2 Mn2 Ru4'
_cell_length_a 3.0413
_cell_length_b 4.6376
_cell_length_c 8.5437
_cell_angle_alpha 90.00
_cell_angle_beta 90.00
_cell_angle_gamma 90.00
_space_group_name_H-M_alt 'I m m m'
_space_group_IT_number 71
_space_group_name_Hall '-I 2 2'
loop_
_atom_site_label
_atom_site_fract_x
_atom_site_fract_y
_atom_site_fract_z
Sc1 0.0000 0.0000 0.0000
Mn1 0.0000 0.0000 0.5000
Ru1 0.0000 0.5000 0.2339
```


2.
Material: TmN2Cl4
Method: DFT, PBE-GGA
State: optimized geometry

Properties
The calculation puts the formation energy from raw total energies at 0.361 eV/atom. As for the magnetic moment: 6.0 μB per formula unit.

Cell and atoms, written as CIF:
```
data_TmN2Cl4
_chemical_formula_sum 'Tm2 N4 Cl8'
_cell_length_a 22.9696
_cell_length_b 4.4430
_cell_length_c 4.4443
_cell_angle_alpha 90.00
_cell_angle_beta 101.10
_cell_angle_gamma 90.00
_space_group_name_H-M_alt 'C 1 2/m 1'
_space_group_IT_number 12
_space_group_name_Hall '-C 2y'
loop_
_atom_site_label
_atom_site_fract_x
_atom_site_fract_y
_atom_site_fract_z
Tm1 0.0000 0.0000 0.0000
N1 0.2014 0.5000 0.7022
Cl1 0.0715 0.0000 0.5712
Cl2 0.0715 0.5000 0.0716
```


3.
Material: BaNaAgHg2
Method: DFT, PBE-GGA
State: optimized geometry

Properties
As for the formation energy: -0.7 eV per formula unit. As for the magnetic moment: 0.0 μB per formula unit.

Cell and atoms, written as CIF:
```
data_BaNaAgHg2
_chemical_formula_sum 'Ba1 Na1 Ag1 Hg2'
_cell_length_a 5.4900
_cell_length_b 5.4900
_cell_length_c 5.3389
_cell_angle_alpha 90.00
_cell_angle_beta 90.00
_cell_angle_gamma 90.00
_space_group_name_H-M_alt 'P 4/m m m'
_space_group_IT_number 123
_space_group_name_Hall '-P 4 2'
loop_
_atom_site_label
_atom_site_fract_x
_atom_site_fract_y
_atom_site_fract_z
Ba1 0.0000 0.0000 0.0000
Na1 0.5000 0.5000 0.0000
Ag1 0.5000 0.5000 0.5000
Hg1 0.0000 0.5000 0.5000
```


4.
Material: Tb7PrDy2
Method: DFT, PBE-GGA
State: optimized geometry

Properties
As for the formation energy: 0.2 eV per formula unit. The calculation puts the energy relative to the lowest polymorph listed for this composition at 0 meV per atom. As for the magnetic moment: 0.0 μB per formula unit.

Cell and atoms, written as CIF:
```
data_Tb7PrDy2
_chemical_formula_sum 'Tb7 Pr1 Dy2'
_cell_length_a 6.1867
_cell_length_b 6.1869
_cell_length_c 9.4427
_cell_angle_alpha 102.59
_cell_angle_beta 109.07
_cell_angle_gamma 99.54
_space_group_name_H-M_alt 'P -1'
_space_group_IT_number 2
_space_group_name_Hall '-P 1'
loop_
_atom_site_label
_atom_site_fract_x
_atom_site_fract_y
_atom_site_fract_z
Tb1 0.0000 0.0000 0.0000
Tb2 0.2011 0.0003 0.3992
Tb3 0.2006 0.5008 0.9011
Tb4 0.3990 0.4996 0.2980
Pr1 0.0000 0.5000 0.5000
Dy1 0.4008 0.0016 0.8013
```


5.
Material: Re2WCl
Method: DFT, PBE-GGA
State: optimized geometry

Properties
The calculation puts the formation energy from raw total energies at 0.676 eV/atom. The calculation puts the energy relative to the lowest polymorph listed for this composition at 223 meV per atom. As for the magnetic moment: 0.0 μB per formula unit.

Cell and atoms, written as CIF:
```
data_Re2WCl
_chemical_formula_sum 'Re2 W1 Cl1'
_cell_length_a 2.8549
_cell_length_b 4.0815
_cell_length_c 5.5053
_cell_angle_alpha 90.00
_cell_angle_beta 104.29
_cell_angle_gamma 90.00
_space_group_name_H-M_alt 'P 1 m 1'
_space_group_IT_number 6
_space_group_name_Hall 'P -2y'
loop_
_atom_site_label
_atom_site_fract_x
_atom_site_fract_y
_atom_site_fract_z
Re1 0.0000 0.0000 0.0000
Re2 0.4019 0.5000 0.7975
W1 0.5738 0.5000 0.2872
Cl1 0.6613 0.0000 0.5520
```


6.
Material: Ac3I2
Method: DFT, PBE-GGA
State: optimized geometry

Properties
The calculation puts the formation energy from raw total energies at -0.529 eV/atom. As for the magnetic moment: 0.0 μB per formula unit.

Cell and atoms, written as CIF:
```
data_Ac3I2
_chemical_formula_sum 'Ac18 I12'
_cell_length_a 8.0330
_cell_length_b 8.0330
_cell_length_c 23.0111
_cell_angle_alpha 90.00
_cell_angle_beta 90.00
_cell_angle_gamma 120.00
_space_group_name_H-M_alt 'R -3 c'
_space_group_IT_number 167
_space_group_name_Hall '-R 3 2"c'
loop_
_atom_site_label
_atom_site_fract_x
_atom_site_fract_y
_atom_site_fract_z
Ac1 0.0000 0.3541 0.2500
I1 0.0000 0.0000 0.1710
```


7.
Material: RbBN2O
Method: DFT, PBE-GGA
State: optimized geometry

Properties
The calculation puts the formation energy from raw total energies at 3.079 eV/atom. As for the magnetic moment: 6.0 μB per formula unit.

Cell and atoms, written as CIF:
```
data_RbBN2O
_chemical_formula_sum 'Rb1 B1 N2 O1'
_cell_length_a 5.5275
_cell_length_b 5.5275
_cell_length_c 4.9986
_cell_angle_alpha 90.00
_cell_angle_beta 90.00
_cell_angle_gamma 90.00
_space_group_name_H-M_alt 'P 4/m m m'
_space_group_IT_number 123
_space_group_name_Hall '-P 4 2'
loop_
_atom_site_label
_atom_site_fract_x
_atom_site_fract_y
_atom_site_fract_z
Rb1 0.0000 0.0000 0.0000
B1 0.5000 0.5000 0.5000
N1 0.0000 0.5000 0.0000
O1 0.0000 0.0000 0.5000
```


8.
Material: ZrInPd
Method: DFT, PBE-GGA
State: optimized geometry

Properties
As for the formation energy: -1.5 eV per formula unit. As for the magnetic moment: 0.0 μB per formula unit.

Cell and atoms, written as CIF:
```
data_ZrInPd
_chemical_formula_sum 'Zr2 In2 Pd2'
_cell_length_a 3.2619
_cell_length_b 3.2619
_cell_length_c 11.0852
_cell_angle_alpha 90.00
_cell_angle_beta 90.00
_cell_angle_gamma 90.00
_space_group_name_H-M_alt 'I 4 m m'
_space_group_IT_number 107
_space_group_name_Hall 'I 4 -2'
loop_
_atom_site_label
_atom_site_fract_x
_atom_site_fract_y
_atom_site_fract_z
Zr1 0.0000 0.0000 0.0000
In1 0.0000 0.0000 0.3105
Pd1 0.0000 0.0000 0.6579
```


9.
Material: TaAl2Tc
Method: DFT, PBE-GGA
State: optimized geometry

Properties
As for the formation energy: -1.3 eV per formula unit. The calculation puts the energy relative to the lowest polymorph listed for this composition at 48 meV per atom. As for the magnetic moment: 0.0 μB per formula unit.

Cell and atoms, written as CIF:
```
data_TaAl2Tc
_chemical_formula_sum 'Ta2 Al4 Tc2'
_cell_length_a 4.4066
_cell_length_b 4.4066
_cell_length_c 6.3272
_cell_angle_alpha 90.00
_cell_angle_beta 90.00
_cell_angle_gamma 90.00
_space_group_name_H-M_alt 'I -4 m 2'
_space_group_IT_number 119
_space_group_name_Hall 'I -4 -2'
loop_
_atom_site_label
_atom_site_fract_x
_atom_site_fract_y
_atom_site_fract_z
Ta1 0.0000 0.0000 0.0000
Al1 0.0000 0.0000 0.5000
Al2 0.0000 0.5000 0.2500
Tc1 0.0000 0.5000 0.7500
```


10.
Material: NaThPbN
Method: DFT, PBE-GGA
State: optimized geometry

Properties
The calculation puts the formation energy from raw total energies at -0.649 eV/atom. As for the magnetic moment: 0.0 μB per formula unit.

Cell and atoms, written as CIF:
```
data_NaThPbN
_chemical_formula_sum 'Na2 Th2 Pb2 N2'
_cell_length_a 3.3844
_cell_length_b 3.3844
_cell_length_c 16.4057
_cell_angle_alpha 90.00
_cell_angle_beta 90.00
_cell_angle_gamma 90.00
_space_group_name_H-M_alt 'I 4 m m'
_space_group_IT_number 107
_space_group_name_Hall 'I 4 -2'
loop_
_atom_site_label
_atom_site_fract_x
_atom_site_fract_y
_atom_site_fract_z
Na1 0.0000 0.0000 0.0000
Th1 0.0000 0.0000 0.3118
Pb1 0.0000 0.0000 0.6407
N1 0.0000 0.0000 0.8515
```


11.
Material: ReSbO2
Method: DFT, PBE-GGA
State: optimized geometry

Properties
The calculation puts the formation energy from raw total energies at -0.285 eV/atom. As for the magnetic moment: 0.0 μB per formula unit.

Cell and atoms, written as CIF:
```
data_ReSbO2
_chemical_formula_sum 'Re4 Sb4 O8'
_cell_length_a 6.0651
_cell_length_b 6.0651
_cell_length_c 8.5585
_cell_angle_alpha 90.00
_cell_angle_beta 90.00
_cell_angle_gamma 90.00
_space_group_name_H-M_alt 'I 41/a m d'
_space_group_IT_number 141
loop_
_space_group_symop_operation_xyz
'x,y,z'
'-x,-y,-z'
'-y+1/4,x+3/4,z+1/4'
'y+1/4,-x+3/4,-z+1/4'
'-x+1/2,-y,z+1/2'
'x+1/2,y,-z+1/2'
'y+1/4,-x+1/4,z+3/4'
'-y+1/4,x+1/4,-z+3/4'
'x,-y,-z'
'-x,y,z'
'-y+1/4,-x+1/4,-z+3/4'
'y+1/4,x+1/4,z+3/4'
'-x+1/2,y,-z+1/2'
'x+1/2,-y,z+1/2'
'y+1/4,x+3/4,-z+1/4'
'-y+1/4,-x+3/4,z+1/4'
'x+1/2,y+1/2,z+1/2'
'-x+1/2,-y+1/2,-z+1/2'
'-y+3/4,x+1/4,z+3/4'
'y+3/4,-x+1/4,-z+3/4'
'-x,-y+1/2,z'
'x,y+1/2,-z'
'y+3/4,-x+3/4,z+1/4'
'-y+3/4,x+3/4,-z+1/4'
'x+1/2,-y+1/2,-z+1/2'
'-x+1/2,y+1/2,z+1/2'
'-y+3/4,-x+3/4,-z+1/4'
'y+3/4,x+3/4,z+1/4'
'-x,y+1/2,-z'
'x,-y+1/2,z'
'y+3/4,x+1/4,-z+3/4'
'-y+3/4,-x+1/4,z+3/4'
loop_
_atom_site_label
_atom_site_fract_x
_atom_site_fract_y
_atom_site_fract_z
Re1 0.0000 0.2500 0.3750
Sb1 0.0000 0.2500 0.8750
O1 0.0000 0.0000 0.5000
```


12.
Material: LaMnAl2C
Method: DFT, PBE-GGA
State: optimized geometry

Properties
As for the formation energy: 2.3 eV per formula unit. As for the magnetic moment: 0.1 μB per formula unit.

Cell and atoms, written as CIF:
```
data_LaMnAl2C
_chemical_formula_sum 'La1 Mn1 Al2 C1'
_cell_length_a 3.9556
_cell_length_b 3.9556
_cell_length_c 5.2586
_cell_angle_alpha 90.00
_cell_angle_beta 90.00
_cell_angle_gamma 90.00
_space_group_name_H-M_alt 'P 4/m m m'
_space_group_IT_number 123
_space_group_name_Hall '-P 4 2'
loop_
_atom_site_label
_atom_site_fract_x
_atom_site_fract_y
_atom_site_fract_z
La1 0.0000 0.0000 0.0000
Mn1 0.5000 0.5000 0.0000
Al1 0.0000 0.5000 0.5000
C1 0.0000 0.0000 0.5000
```


13.
Material: Hg7N2F2
Method: DFT, PBE-GGA
State: optimized geometry

Properties
The calculation puts the formation energy from raw total energies at 0.126 eV/atom. As for the magnetic moment: 0.0 μB per formula unit.

Cell and atoms, written as CIF:
```
data_Hg7N2F2
_chemical_formula_sum 'Hg14 N4 F4'
_cell_length_a 6.5655
_cell_length_b 10.6868
_cell_length_c 6.4071
_cell_angle_alpha 90.00
_cell_angle_beta 96.43
_cell_angle_gamma 90.00
_space_group_name_H-M_alt 'C 1 2/m 1'
_space_group_IT_number 12
_space_group_name_Hall '-C 2y'
loop_
_atom_site_label
_atom_site_fract_x
_atom_site_fract_y
_atom_site_fract_z
Hg1 0.0000 0.0000 0.0000
Hg2 0.0067 0.2587 0.2147
Hg3 0.2176 0.0000 0.4871
N1 0.0000 0.3608 0.5000
F1 0.1901 0.5000 0.1208
```